[1]
The following is a GGA-PBE calculation of BaTePtO after structural relaxation, from OQMD via LeMat-Bulk.

```
BaTePtO
1.0
5.742 0.000 0.000
0.000 7.741 0.000
0.000 0.000 9.843
Te O Pt Ba
4 4 4 4
direct
0.985 0.360 0.305 Te
0.485 0.640 0.195 Te
0.015 0.140 0.805 Te
0.515 0.860 0.695 Te
0.791 0.359 0.834 O
0.291 0.641 0.666 O
0.709 0.859 0.166 O
0.209 0.141 0.334 O
0.118 0.545 0.498 Pt
0.882 0.955 0.998 Pt
0.382 0.045 0.502 Pt
0.618 0.455 0.002 Pt
0.893 0.893 0.400 Ba
0.107 0.607 0.900 Ba
0.607 0.393 0.600 Ba
0.393 0.107 0.100 Ba
```

Calculated values
crystal system = orthorhombic
symmetry = P2_12_12_1
polymorph energy (0 for the lowest one) = 146 meV/atom

***

[2]
The following is a GGA-PBE calculation of BaMgCdAu2 after structural relaxation, from OQMD via LeMat-Bulk.

```
BaMgCdAu2
1.0
0.341 -6.137 -3.662
2.788 -6.197 2.239
-4.410 5.310 1.882
Au Ba Mg Cd
2 1 1 1
direct
0.614 0.614 0.000 Au
0.386 0.386 0.000 Au
0.000 0.000 0.000 Ba
0.250 0.750 0.500 Mg
0.750 0.250 0.500 Cd
```

Calculated values
crystal system = tetragonal
symmetry = I-4m2
electronic total energy = -2.76 eV per atom

***

[3]
The following is a GGA-PBE calculation of Cu3Ag after structural relaxation, from OQMD via LeMat-Bulk.

```
Cu3Ag
1.0
-3.170 -3.634 5.813
1.231 -1.328 -7.333
2.427 -1.136 0.613
Cu Ag
6 2
direct
0.000 0.500 0.000 Cu
0.282 0.282 0.000 Cu
0.718 0.718 0.000 Cu
0.630 0.370 0.500 Cu
0.500 0.000 0.000 Cu
0.370 0.630 0.500 Cu
0.880 0.120 0.500 Ag
0.120 0.880 0.500 Ag
```

Calculated values
crystal system = orthorhombic
symmetry = Cmmm
formation energy from the elements = 0.33 eV/f.u.

***

| no. | V (Å³ per atom) |
| --- | --- |
| 1 | 27.3 |
| 2 | 26.1 |
| 3 | 13.4 |